! LiTmGe, optimized geometry, DFT PBE; values from VASP
&SYSTEM
  ibrav = 0, nat = 3, ntyp = 3
/
ATOMIC_SPECIES
Ge 72.64 Ge.upf
Tm 168.93 Tm.upf
Li 6.94 Li.upf
CELL_PARAMETERS angstrom
4.618 0.000 0.000
2.309 3.999 0.000
2.309 1.333 3.770
ATOMIC_POSITIONS crystal
Ge 0.250 0.250 0.250
Tm 0.500 0.500 0.500
Li 0.000 0.000 0.000
! VASP energy   -4.217 eV/atom
! Formation energy   -0.550 eV/atom
! SG   F-43m (216)

---

! HoMn10Fe2, optimized geometry, DFT PBE; values from VASP
&SYSTEM
  ibrav = 0, nat = 26, ntyp = 3
/
ATOMIC_SPECIES
Ho 164.93 Ho.upf
Mn 54.94 Mn.upf
Fe 55.84 Fe.upf
CELL_PARAMETERS angstrom
-2.959 -2.569 4.968
5.075 -3.779 -0.026
3.813 5.087 4.902
ATOMIC_POSITIONS crystal
Ho 0.878 0.122 0.750
Ho 0.122 0.878 0.250
Mn 0.390 0.129 0.750
Mn 0.610 0.871 0.250
Mn 0.871 0.610 0.750
Mn 0.129 0.390 0.250
Mn 0.517 0.749 0.750
Mn 0.483 0.251 0.250
Mn 0.251 0.483 0.750
Mn 0.749 0.517 0.250
Mn 0.832 0.168 0.395
Mn 0.168 0.832 0.895
Mn 0.832 0.168 0.105
Mn 0.168 0.832 0.605
Mn 0.604 0.396 0.930
Mn 0.396 0.604 0.430
Mn 0.604 0.396 0.570
Mn 0.396 0.604 0.070
Mn 0.775 0.775 0.000
Mn 0.225 0.225 0.500
Mn 0.225 0.225 0.000
Mn 0.775 0.775 0.500
Fe 0.500 0.000 0.000
Fe 0.500 0.000 0.500
Fe 0.000 0.500 0.500
Fe 0.000 0.500 0.000
! VASP energy   -8.697 eV/atom
! Formation energy   0.010 eV/atom
! SG   Cmcm (63)

---

! NbNiB, optimized geometry, DFT PBE; values from VASP
&SYSTEM
  ibrav = 0, nat = 12, ntyp = 3
/
ATOMIC_SPECIES
Ni 58.69 Ni.upf
Nb 92.91 Nb.upf
B 10.81 B.upf
CELL_PARAMETERS angstrom
-2.893 4.252 -0.328
-2.650 -1.780 0.306
2.229 -1.797 8.858
ATOMIC_POSITIONS crystal
Ni 0.593 0.000 0.918
Ni 0.593 0.500 0.418
Ni 0.206 0.000 0.338
Ni 0.206 0.500 0.838
Nb 0.629 0.000 0.211
Nb 0.629 0.500 0.711
Nb 0.030 0.000 0.582
Nb 0.030 0.500 0.082
B 0.950 0.000 0.849
B 0.950 0.500 0.349
B 0.272 0.000 0.989
B 0.272 0.500 0.489
! VASP energy   -7.784 eV/atom
! Formation energy   -0.274 eV/atom
! SG   Cm (8)

---

! Th2OsSe, optimized geometry, DFT PBE; values from VASP
&SYSTEM
  ibrav = 0, nat = 4, ntyp = 3
/
ATOMIC_SPECIES
Th 232.04 Th.upf
Os 190.23 Os.upf
Se 78.96 Se.upf
CELL_PARAMETERS angstrom
-3.868 0.529 -1.284
-1.733 -2.767 -2.496
-4.366 -4.556 4.698
ATOMIC_POSITIONS crystal
Th 0.070 0.070 0.789
Th 0.264 0.264 0.209
Os 0.668 0.668 0.996
Se 0.498 0.498 0.506
! VASP energy   -8.326 eV/atom
! Raw formation energy   -0.94 eV per atom
! Energy above the lowest structure with this stoichiometry   0.073 eV/atom
! SG   R3m (160)

---

! LiMo2Cl, optimized geometry, DFT PBE; values from VASP
&SYSTEM
  ibrav = 0, nat = 4, ntyp = 3
/
ATOMIC_SPECIES
Cl 35.45 Cl.upf
Li 6.94 Li.upf
Mo 95.94 Mo.upf
CELL_PARAMETERS angstrom
2.755 0.030 0.000
-1.080 2.534 0.000
0.000 0.000 9.118
ATOMIC_POSITIONS crystal
Cl 0.500 0.500 0.250
Li 0.500 0.500 0.750
Mo 0.000 0.000 0.014
Mo 0.000 0.000 0.486
! VASP energy   -5.708 eV/atom
! Raw formation energy   0.65 eV per atom
! Energy above the lowest structure with this stoichiometry   0.749 eV/atom
! SG   Cmmm (65)

---

! Li3MgNp3N8, optimized geometry, DFT PBE; values from VASP
&SYSTEM
  ibrav = 0, nat = 15, ntyp = 4
/
ATOMIC_SPECIES
Li 6.94 Li.upf
Mg 24.30 Mg.upf
Np 237.00 Np.upf
N 14.01 N.upf
CELL_PARAMETERS angstrom
-5.488 -3.210 2.189
4.744 1.910 4.368
-3.639 4.151 -3.038
ATOMIC_POSITIONS crystal
Li 0.000 0.000 0.000
Li 0.000 0.500 0.000
Li 0.500 0.500 0.000
Mg 0.000 0.000 0.500
Np 0.500 0.000 0.500
Np 0.500 0.500 0.500
Np 0.000 0.500 0.500
N 0.260 0.519 0.279
N 0.740 0.481 0.721
N 0.759 0.519 0.307
N 0.241 0.481 0.693
N 0.759 0.047 0.307
N 0.241 0.953 0.693
N 0.288 0.047 0.307
N 0.712 0.953 0.693
! VASP energy   -8.228 eV/atom
! Raw formation energy   -0.71 eV per atom
! SG   R-3m (166)